w) # Ti2Ga3Pd4, optimized geometry, DFT GGA-PBE
data_Ti2Ga3Pd4
_space_group_name_H-M_alt 'C m c e'
_space_group_IT_number 64
_space_group_name_Hall '-C 2ac 2'
_cell_length_a 5.3523
_cell_length_b 14.0063
_cell_length_c 7.7425
_cell_angle_alpha 90.00
_cell_angle_beta 90.00
_cell_angle_gamma 90.00
loop_
_atom_site_label
_atom_site_fract_x
_atom_site_fract_y
_atom_site_fract_z
_atom_site_occupancy
Ti1 0.0000 0.0923 0.0862 1
Ga1 0.0000 0.0000 0.5000 1
Ga2 0.2500 0.2468 0.7500 1
Pd1 0.0000 0.1828 0.4907 1
Pd2 0.2500 0.0618 0.7500 1
# Crystal system: orthorhombic



x) # Ti2Ga3Pd4, optimized geometry, DFT GGA-PBE
data_Ti2Ga3Pd4
_space_group_name_H-M_alt 'C 1 2/m 1'
_space_group_IT_number 12
_cell_length_a 7.7159
_cell_length_b 4.4609
_cell_length_c 8.1021
_cell_angle_alpha 90.00
_cell_angle_beta 90.17
_cell_angle_gamma 90.00
loop_
_space_group_symop_operation_xyz
'x,y,z'
'-x,-y,-z'
'-x,y,-z'
'x,-y,z'
'x+1/2,y+1/2,z'
'-x+1/2,-y+1/2,-z'
'-x+1/2,y+1/2,-z'
'x+1/2,-y+1/2,z'
loop_
_atom_site_label
_atom_site_fract_x
_atom_site_fract_y
_atom_site_fract_z
_atom_site_occupancy
Ti1 0.1672 0.0000 0.2769 1
Ga1 0.0000 0.5000 0.5000 1
Ga2 0.1671 0.0000 0.9344 1
Pd1 0.9995 0.5000 0.1720 1
Pd2 0.1658 0.0000 0.6108 1
# Crystal system: monoclinic



Winner for stability: x)



w) # Tl2GaPd2, optimized geometry, DFT GGA-PBE
data_Tl2GaPd2
_space_group_name_H-M_alt 'P 4/m b m'
_space_group_IT_number 127
_space_group_name_Hall '-P 4 2ab'
_cell_length_a 6.8475
_cell_length_b 6.8475
_cell_length_c 4.3912
_cell_angle_alpha 90.00
_cell_angle_beta 90.00
_cell_angle_gamma 90.00
loop_
_atom_site_label
_atom_site_fract_x
_atom_site_fract_y
_atom_site_fract_z
_atom_site_occupancy
Tl1 0.1613 0.3387 0.0000 1
Ga1 0.0000 0.0000 0.5000 1
Pd1 0.1522 0.6522 0.5000 1
# Crystal system: tetragonal



x) # Tl2GaPd2, optimized geometry, DFT GGA-PBE
data_Tl2GaPd2
_space_group_name_H-M_alt 'P 4/m b m'
_space_group_IT_number 127
_space_group_name_Hall '-P 4 2ab'
_cell_length_a 8.2129
_cell_length_b 8.2129
_cell_length_c 3.1143
_cell_angle_alpha 90.00
_cell_angle_beta 90.00
_cell_angle_gamma 90.00
loop_
_atom_site_label
_atom_site_fract_x
_atom_site_fract_y
_atom_site_fract_z
_atom_site_occupancy
Tl1 0.1621 0.3379 0.0000 1
Ga1 0.0000 0.0000 0.0000 1
Pd1 0.1339 0.6339 0.5000 1
# Crystal system: tetragonal



Winner for stability: w)